1.
Compound: ScCu3Au
Source: Alexandria via LeMat-Bulk
Functional: PBE-GGA
Structure: optimized geometry

a b c (Å): 4.7105 4.7105 4.7105
angles (deg): 90.00 90.00 90.00
Closest atoms and distances in Å follow each position.
Space group Pm-3m (No. 221)
Unique sites:
1 Sc 0.0000 0.0000 0.0000  6 Cu 2.36
2 Cu 0.0000 0.0000 0.5000  2 Sc 2.36
3 Au 0.5000 0.5000 0.5000  12 Cu 3.33

ΔE_f: 1160 meV/atom
E above lowest polymorph: 612.7 meV per atom

2.
Compound: Nb2CrCl8
Source: Alexandria via LeMat-Bulk
Functional: PBE-GGA
Structure: optimized geometry

a b c (Å): 12.6790 10.5804 5.1614
angles (deg): 90.00 91.89 90.00
Closest atoms and distances in Å follow each position.
Space group C2/m (No. 12)
Unique sites:
1 Nb 0.2013 0.0000 0.2850  4 Cl 2.31-2.46
2 Cr 0.0000 0.0000 0.0000  6 Cl 2.51-2.70
3 Cl 0.0896 0.1783 0.2403  1 Nb 2.36, 1 Cr 2.51
4 Cl 0.1178 0.5000 0.7543  1 Nb 2.31
5 Cl 0.1856 0.0000 0.7593  2 Nb 2.46-2.71, 1 Cr 2.70

energy relative to the elements, uncorrected: -888 meV per atom

3.
Compound: HfTi2Tc
Source: Alexandria via LeMat-Bulk
Functional: PBE-GGA
Structure: optimized geometry

a b c (Å): 3.2049 4.6504 9.3786
angles (deg): 90.00 90.00 90.00
Closest atoms and distances in Å follow each position.
Space group Immm (No. 71)
Unique sites:
1 Hf 0.0000 0.0000 0.0000  4 Tc 2.82, 8 Ti 3.08-3.11
2 Ti 0.0000 0.5000 0.2201  2 Tc 2.61, 4 Ti 2.88
3 Tc 0.0000 0.0000 0.5000  4 Ti 2.61, 4 Hf 2.82

ΔE_f: -312 meV/atom
E above lowest polymorph: 0.0 meV per atom

4.
Compound: Ca2PdO
Source: Alexandria via LeMat-Bulk
Functional: PBE-GGA
Structure: optimized geometry

a b c (Å): 6.6176 6.6176 8.0882
angles (deg): 90.00 90.00 90.00
Closest atoms and distances in Å follow each position.
Space group I-42d (No. 122)
Unique sites:
1 Ca 0.1683 0.2500 0.1250  2 O 2.24
2 Pd 0.0000 0.0000 0.5000  4 Ca 2.93
3 O 0.0000 0.0000 0.0000  4 Ca 2.24

energy relative to the elements, uncorrected: -1548 meV per atom

5.
Compound: Cu2HgBr
Source: Alexandria via LeMat-Bulk
Functional: PBE-GGA
Structure: optimized geometry

a b c (Å): 6.6415 8.2376 3.4846
angles (deg): 90.00 118.75 90.00
Closest atoms and distances in Å follow each position.
Space group C2/m (No. 12)
Unique sites:
1 Cu 0.2500 0.2500 0.0000  2 Hg 2.65, 2 Br 2.65
2 Hg 0.0000 0.0000 0.0000  4 Cu 2.65
3 Br 0.0000 0.5000 0.0000  4 Cu 2.65

energy relative to the elements, uncorrected: 333 meV per atom
E above lowest polymorph: 334.6 meV per atom

6.
Compound: NdDyO3
Source: Alexandria via LeMat-Bulk
Functional: PBE-GGA
Structure: optimized geometry

a b c (Å): 5.7531 5.7531 16.7195
angles (deg): 90.00 90.00 120.00
Closest atoms and distances in Å follow each position.
Space group R32 (No. 155, hexagonal axes)
Unique sites:
1 Nd 0.0000 0.0000 0.1424  6 O 2.35-2.48
2 Dy 0.0000 0.0000 0.3508  6 O 2.26-2.36
3 O 0.0167 0.2998 0.2514  2 Dy 2.26-2.36, 2 Nd 2.35-2.48

energy relative to the elements, uncorrected: -3300 meV per atom

7.
Compound: MgFeOs
Source: Alexandria via LeMat-Bulk
Functional: PBE-GGA
Structure: optimized geometry

a b c (Å): 13.2874 2.7382 4.7079
angles (deg): 90.00 96.71 90.00
Closest atoms and distances in Å follow each position.
Space group Cm (No. 8)
Unique sites:
1 Mg 0.0000 0.0000 0.0000  6 Mg 2.72-2.74, 3 Fe 2.76-2.85, 3 Os 2.78-2.80
2 Mg 0.0060 0.5000 0.5013  6 Mg 2.72-2.74, 3 Os 2.79-2.82, 3 Fe 2.79-2.88
3 Fe 0.1802 0.0000 0.7259  3 Fe 2.45-2.74, 4 Os 2.52-2.67
4 Fe 0.3262 0.0000 0.0948  3 Fe 2.45-2.74, 4 Os 2.52-2.70
5 Os 0.1771 0.5000 0.2107  6 Fe 2.52-2.78, 3 Os 2.56-2.74, 3 Mg 2.79-2.80
6 Os 0.3284 0.5000 0.6016  6 Fe 2.52-2.75, 3 Os 2.56-2.74, 3 Mg 2.78-2.82

ΔE_f: 238 meV/atom
E above lowest polymorph: 102.6 meV per atom

8.
Compound: CaYSbCl2
Source: Alexandria via LeMat-Bulk
Functional: PBE-GGA
Structure: optimized geometry

a b c (Å): 5.1410 5.1410 6.2343
angles (deg): 90.00 90.00 90.00
Closest atoms and distances in Å follow each position.
Space group P4/mmm (No. 123)
Unique sites:
1 Ca 0.0000 0.0000 0.0000  4 Sb 3.64, 8 Cl 4.04
2 Y 0.5000 0.5000 0.5000  4 Cl 2.57
3 Sb 0.5000 0.5000 0.0000  2 Y 3.12
4 Cl 0.0000 0.5000 0.5000  2 Y 2.57

energy relative to the elements, uncorrected: -1435 meV per atom

Result set for DFT total energy: -3.22, -4.94, -9.34, -5.09, -2.21, -8.15, -6.86, -4.69 eV per atom, one per record in the order listed.
Result set for magnetic moment: 0.00, 6.03, 0.00, 0.00, 0.00, 0.00, 1.52, 0.00 μB/f.u., one per record in the order listed.